DFT (meta-GGA SCAN) results for a PBEsol-optimized structure of LiCoSi2. Values from VASP.

Results
space group = F-43m (216)
uncorrected energy = -39.1 eV for the cell shown
DOS at the Fermi energy = 0.3467 states/eV per atom
energy above the most stable polymorph in this dataset = 282 meV/atom
formation energy (no corrections) = 0.1598 eV/atom

The structure in Quantum ESPRESSO input format:
```
&SYSTEM
  ibrav = 0, nat = 4, ntyp = 3
/
ATOMIC_SPECIES
Li 6.94 Li.upf
Co 58.93 Co.upf
Si 28.09 Si.upf
CELL_PARAMETERS angstrom
0.0000 2.8111 2.8111
2.8111 0.0000 2.8111
2.8111 2.8111 0.0000
ATOMIC_POSITIONS angstrom
Li 0.0000 0.0000 0.0000
Co 1.4056 1.4056 1.4056
Si 2.8111 2.8111 2.8111
Si 4.2167 4.2167 4.2167
```

DFT (meta-GGA SCAN) results for a PBEsol-optimized structure of CsIn2Pb2. Values from VASP.

Results
formation enthalpy at 0 K = -0.23 eV/atom
space group = I4/mmm (139)
uncorrected energy = -257.3 eV for the cell shown
DOS at the Fermi energy = 0.5430 states/eV per atom

The structure in Quantum ESPRESSO input format:
```
&SYSTEM
  ibrav = 0, nat = 5, ntyp = 3
/
ATOMIC_SPECIES
Cs 132.91 Cs.upf
In 114.82 In.upf
Pb 207.20 Pb.upf
CELL_PARAMETERS angstrom
-2.4886 2.4886 6.8805
2.4886 -2.4886 6.8805
2.4886 2.4886 -6.8805
ATOMIC_POSITIONS angstrom
Cs 0.0000 0.0000 0.0000
In 2.4886 0.0000 3.4402
In 0.0000 2.4886 3.4402
Pb 0.0000 0.0000 5.2355
Pb 0.0000 0.0000 8.5254
```